## Sc2MnRe (PBE)

Data for a geometry-optimized Sc2MnRe structure.

Lattice parameters (Å, degrees): 9.141 9.141 9.141 18.90 18.90 18.90
Fractional coordinates of all 4 atoms:
1 Mn 0.250 0.250 0.250
2 Re 0.750 0.750 0.750
3 Sc 0.001 0.001 0.001
4 Sc 0.499 0.499 0.499

Computed properties:
- DFT formation energy: 0.291 eV/atom
- Total moment: 0.55 μB per atom
- V: 17.50 Å³ per atom

## CrRu3Se (PBE)

Data for a geometry-optimized CrRu3Se structure.

Lattice parameters (Å, degrees): 4.447 4.447 4.447 90.00 90.00 90.00
Fractional coordinates of all 5 atoms:
1 Ru 0.000 0.500 0.000
2 Ru 0.000 0.000 0.500
3 Ru 0.500 0.000 0.000
4 Se 0.500 0.500 0.500
5 Cr 0.000 0.000 0.000

Computed properties:
- Total moment: 0.00 μB per atom
- E_form (uncorrected): 1343 meV per atom
- V: 17.59 Å³ per atom

## La4AuCl5 (PBE)

Data for a geometry-optimized La4AuCl5 structure.

Lattice parameters (Å, degrees): 4.105 8.817 9.431 104.25 102.57 90.00
Fractional coordinates of all 10 atoms:
1 La 0.327 0.928 0.654
2 La 0.990 0.757 0.979
3 La 0.673 0.072 0.346
4 La 0.010 0.243 0.021
5 Au 0.500 0.000 0.000
6 Cl 0.826 0.690 0.653
7 Cl 0.842 0.179 0.684
8 Cl 0.158 0.821 0.316
9 Cl 0.500 0.500 0.000
10 Cl 0.174 0.310 0.347

Computed properties:
- Total moment: 0.05 μB per atom
- E_form (uncorrected): -1734 meV per atom
- V: 32.24 Å³ per atom

## ZrZnBi3 (PBE)

Data for a geometry-optimized ZrZnBi3 structure.

Lattice parameters (Å, degrees): 5.681 5.681 5.681 90.00 90.00 90.00
Fractional coordinates of all 5 atoms:
1 Zn 0.500 0.500 0.500
2 Bi 0.000 0.500 0.000
3 Bi 0.000 0.000 0.500
4 Bi 0.500 0.000 0.000
5 Zr 0.000 0.000 0.000

Computed properties:
- DFT formation energy: 0.376 eV/atom
- Total moment: 0.00 μB per atom
- V: 36.67 Å³ per atom

## PmP2Pd3 (PBE)

Data for a geometry-optimized PmP2Pd3 structure.

Lattice parameters (Å, degrees): 3.995 8.379 9.905 107.48 90.00 103.79
Fractional coordinates of all 18 atoms:
1 Pm 0.150 0.301 0.700
2 Pm 0.850 0.699 0.300
3 Pm 0.000 0.000 0.000
4 P 0.202 0.403 0.133
5 P 0.798 0.597 0.867
6 P 0.464 0.928 0.210
7 P 0.536 0.072 0.790
8 P 0.366 0.732 0.549
9 P 0.634 0.268 0.451
10 Pd 0.045 0.090 0.332
11 Pd 0.955 0.910 0.668
12 Pd 0.228 0.456 0.392
13 Pd 0.772 0.544 0.608
14 Pd 0.631 0.262 0.208
15 Pd 0.369 0.738 0.792
16 Pd 0.500 0.000 0.500
17 Pd 0.322 0.643 0.035
18 Pd 0.678 0.357 0.965

Computed properties:
- DFT formation energy: -0.893 eV/atom
- Total moment: 0.00 μB per atom
- V: 17.01 Å³ per atom

## Ho2Mg3Ag (PBE)

Data for a geometry-optimized Ho2Mg3Ag structure.

Lattice parameters (Å, degrees): 3.299 5.073 8.753 90.00 90.00 90.00
Fractional coordinates of all 6 atoms:
1 Ho 0.000 0.500 0.016
2 Ho 0.000 0.000 0.487
3 Mg 0.500 0.000 0.831
4 Mg 0.500 0.000 0.169
5 Mg 0.500 0.500 0.663
6 Ag 0.500 0.500 0.334

Computed properties:
- DFT formation energy: -0.111 eV/atom
- Total moment: 0.00 μB per atom
- V: 24.42 Å³ per atom

## HoNp3S6 (PBE)

Data for a geometry-optimized HoNp3S6 structure.

Lattice parameters (Å, degrees): 3.939 10.856 11.303 108.04 90.00 90.00
Fractional coordinates of all 20 atoms:
1 Ho 0.750 0.044 0.690
2 Ho 0.250 0.956 0.310
3 Np 0.750 0.429 0.832
4 Np 0.250 0.571 0.168
5 Np 0.750 0.682 0.502
6 Np 0.250 0.318 0.498
7 Np 0.750 0.160 0.081
8 Np 0.250 0.840 0.919
9 S 0.750 0.484 0.617
10 S 0.250 0.516 0.383
11 S 0.750 0.917 0.099
12 S 0.250 0.083 0.901
13 S 0.750 0.402 0.064
14 S 0.250 0.598 0.936
15 S 0.750 0.747 0.278
16 S 0.250 0.253 0.722
17 S 0.750 0.112 0.462
18 S 0.250 0.888 0.538
19 S 0.750 0.808 0.752
20 S 0.250 0.192 0.248

Computed properties:
- Total moment: 1.19 μB per atom
- E_form (uncorrected): -1525 meV per atom
- V: 22.98 Å³ per atom

## CrSb2P (PBE)

Data for a geometry-optimized CrSb2P structure.

Lattice parameters (Å, degrees): 4.938 4.938 3.522 84.93 84.93 100.81
Fractional coordinates of all 4 atoms:
1 Cr 0.500 0.000 0.500
2 P 0.000 0.500 0.500
3 Sb 0.000 0.000 0.000
4 Sb 0.500 0.500 0.000

Computed properties:
- Total moment: 0.90 μB per atom
- E_form (uncorrected): 454 meV per atom
- V: 20.88 Å³ per atom

## InGaHg (PBE)

Data for a geometry-optimized InGaHg structure.

Lattice parameters (Å, degrees): 3.587 3.587 6.136 106.99 106.99 90.00
Fractional coordinates of all 3 atoms:
1 Hg 0.677 0.677 0.355
2 Ga 0.330 0.330 0.660
3 In 0.993 0.993 0.985

Computed properties:
- DFT formation energy: 0.060 eV/atom
- Total moment: 0.00 μB per atom
- V: 23.96 Å³ per atom

## PrNd3 (PBE)

Data for a geometry-optimized PrNd3 structure.

Lattice parameters (Å, degrees): 6.412 6.412 6.412 132.11 132.11 70.05
Fractional coordinates of all 4 atoms:
1 Pr 0.000 0.000 0.000
2 Nd 0.750 0.250 0.500
3 Nd 0.250 0.750 0.500
4 Nd 0.500 0.500 0.000

Computed properties:
- DFT formation energy: 0.011 eV/atom
- Total moment: 0.00 μB per atom
- V: 35.56 Å³ per atom

Here are the calculated final energy numbers, same order: -33.117 -34.219 -49.564 -19.585 -109.516 -17.458 -166.823 -21.461 -5.887 -19.037 (eV for the cell shown).